This record from Alexandria describes an optimized crystal structure of CuH2Se2. The functional is PBE.

POSCAR file:
```
CuH2Se2
1.0
6.789 0.000 0.000
0.000 6.789 0.000
0.000 0.000 3.391
Cu H Se
2 4 4
Direct
0.000 0.000 0.000
0.500 0.500 0.000
0.130 0.370 0.500
0.370 0.870 0.500
0.630 0.130 0.500
0.870 0.630 0.500
0.183 0.317 0.000
0.317 0.817 0.000
0.683 0.183 0.000
0.817 0.683 0.000
```

As for the energy relative to the lowest polymorph listed for this composition: 0.190 eV/atom.

***

This record from Alexandria describes an optimized crystal structure of CaLa2NdS4. The functional is PBE.

POSCAR file:
```
CaLa2NdS4
1.0
7.110 0.000 0.000
0.000 4.086 0.000
-2.344 0.000 6.733
Ca La Nd S
1 2 1 4
Direct
0.000 0.000 0.000
0.500 0.000 0.500
0.500 0.500 0.000
0.000 0.500 0.500
0.240 0.500 0.243
0.242 0.000 0.752
0.758 0.000 0.248
0.760 0.500 0.757
```

As for the formation energy without anion corrections: -16.8 eV per formula unit.

***

This record from Alexandria describes an optimized crystal structure of Cr4CdNi. The functional is PBE.

POSCAR file:
```
Cr4CdNi
1.0
0.000 3.399 3.399
3.399 0.000 3.399
3.399 3.399 0.000
Cr Cd Ni
4 1 1
Direct
0.124 0.124 0.124
0.124 0.124 0.627
0.124 0.627 0.124
0.627 0.124 0.124
0.500 0.500 0.500
0.750 0.750 0.750
```

For the electronic total energy, the calculation gives -7.106 eV/atom.

***

This record from Alexandria describes an optimized crystal structure of PrSmBiSe. The functional is PBE.

POSCAR file:
```
PrSmBiSe
1.0
2.173 1.255 7.511
-2.173 1.255 7.511
0.000 -2.510 7.511
Pr Sm Bi Se
1 1 1 1
Direct
0.000 0.000 0.000
0.817 0.817 0.817
0.240 0.240 0.240
0.414 0.414 0.414
```

As for the formation energy without anion corrections: -5.2 eV per formula unit.

***

This record from Alexandria describes an optimized crystal structure of Sc4InGa. The functional is PBE.

POSCAR file:
```
Sc4InGa
1.0
3.375 0.000 0.000
0.000 5.193 0.000
0.000 0.000 8.109
Sc In Ga
4 1 1
Direct
0.000 0.000 0.188
0.000 0.000 0.812
0.500 0.500 0.285
0.500 0.500 0.715
0.500 0.000 0.500
0.000 0.500 0.000
```

As for the energy relative to the lowest polymorph listed for this composition: 0.006 eV/atom.

***

This record from Alexandria describes an optimized crystal structure of TbHf4Ru5. The functional is PBE.

POSCAR file:
```
TbHf4Ru5
1.0
3.265 0.000 0.000
0.000 3.265 0.000
0.000 0.000 16.531
Tb Hf Ru
1 4 5
Direct
0.000 0.000 0.000
0.000 0.000 0.204
0.000 0.000 0.401
0.000 0.000 0.599
0.000 0.000 0.796
0.500 0.500 0.114
0.500 0.500 0.306
0.500 0.500 0.500
0.500 0.500 0.694
0.500 0.500 0.886
```

For the electronic total energy, the calculation gives -9.814 eV/atom.

***

This record from Alexandria describes an optimized crystal structure of Sm4SnSbN. The functional is PBE.

POSCAR file:
```
Sm4SnSbN
1.0
3.399 -8.187 0.000
3.399 8.187 0.000
0.000 0.000 6.792
Sm Sn Sb N
8 2 2 2
Direct
0.000 0.500 0.000
0.000 0.500 0.500
0.088 0.912 0.750
0.412 0.588 0.750
0.500 0.000 0.000
0.500 0.000 0.500
0.588 0.412 0.250
0.912 0.088 0.250
0.107 0.893 0.250
0.893 0.107 0.750
0.392 0.608 0.250
0.608 0.392 0.750
0.250 0.750 0.750
0.750 0.250 0.250
```

As for the formation energy without anion corrections: -6.9 eV per formula unit.

***

This record from Alexandria describes an optimized crystal structure of GaSnW3. The functional is PBE.

POSCAR file:
```
GaSnW3
1.0
4.624 0.000 0.000
0.000 4.624 0.000
0.000 0.000 4.624
Ga Sn W
1 1 3
Direct
0.000 0.000 0.000
0.500 0.500 0.500
0.000 0.000 0.500
0.000 0.500 0.000
0.500 0.000 0.000
```

As for the energy relative to the lowest polymorph listed for this composition: 0.000 eV/atom.

***

This record from Alexandria describes an optimized crystal structure of NdDyBeZn. The functional is PBE.

POSCAR file:
```
NdDyBeZn
1.0
0.000 3.553 3.553
3.553 0.000 3.553
3.553 3.553 0.000
Nd Dy Be Zn
1 1 1 1
Direct
0.000 0.000 0.000
0.500 0.500 0.500
0.750 0.750 0.750
0.250 0.250 0.250
```

For the electronic total energy, the calculation gives -3.656 eV/atom.

***

This record from Alexandria describes an optimized crystal structure of KBaNb. The functional is PBE.

POSCAR file:
```
KBaNb
1.0
3.562 0.000 0.000
-1.070 7.634 0.000
-1.198 -3.657 9.329
K Ba Nb
2 2 2
Direct
0.000 0.000 0.000
0.302 0.774 0.578
0.156 0.589 0.173
0.403 0.332 0.688
0.591 0.293 0.350
0.861 0.048 0.361
```

As for the energy relative to the lowest polymorph listed for this composition: 0.314 eV/atom.

***

This record from Alexandria describes an optimized crystal structure of Nd6Ga3Sn. The functional is PBE.

POSCAR file:
```
Nd6Ga3Sn
1.0
5.336 -7.592 0.000
5.336 7.592 0.000
0.000 0.000 7.259
Nd Ga Sn
12 6 2
Direct
0.036 0.964 0.500
0.116 0.498 0.993
0.237 0.318 0.353
0.303 0.697 0.489
0.318 0.237 0.853
0.498 0.116 0.493
0.502 0.884 0.993
0.682 0.763 0.353
0.697 0.303 0.989
0.763 0.682 0.853
0.884 0.502 0.493
0.964 0.036 0.000
0.005 0.734 0.190
0.266 0.995 0.190
0.463 0.537 0.089
0.537 0.463 0.589
0.734 0.005 0.690
0.995 0.266 0.690
0.165 0.835 0.834
0.835 0.165 0.334
```

For the electronic total energy, the calculation gives -4.566 eV/atom.

***

This record from Alexandria describes an optimized crystal structure of Rb3SbPt. The functional is PBE.

POSCAR file:
```
Rb3SbPt
1.0
8.797 0.000 0.000
0.000 8.797 0.000
0.000 0.000 8.797
Rb Sb Pt
12 4 4
Direct
0.057 0.111 0.788
0.111 0.788 0.057
0.212 0.557 0.389
0.288 0.443 0.889
0.389 0.212 0.557
0.443 0.889 0.288
0.557 0.389 0.212
0.611 0.712 0.943
0.712 0.943 0.611
0.788 0.057 0.111
0.889 0.288 0.443
0.943 0.611 0.712
0.177 0.177 0.177
0.323 0.823 0.677
0.677 0.323 0.823
0.823 0.677 0.323
0.082 0.918 0.418
0.418 0.082 0.918
0.582 0.582 0.582
0.918 0.418 0.082
```

As for the formation energy without anion corrections: 0.1 eV per formula unit.